Entry 1:
Material: Pu2PaIr3
Method: DFT, PBE
State: optimized geometry

Values from the calculation:
E_tot: -11.341 eV/atom
size of the total moment: 9.56 μB/f.u.
DOS at the Fermi energy: 15.5 states/eV/cell
formation energy: -0.5510 eV per atom
SG: Immm

Cell: 6.924 6.924 6.924 Å, 146.69 132.00 59.67°
Atoms (fractional coordinates):
Pu1 0.165 0.165 0.000
Pu2 0.835 0.835 0.000
Pa1 0.500 0.500 0.000
Ir1 0.000 0.500 0.500
Ir2 0.336 0.836 0.500
Ir3 0.664 0.164 0.500


Entry 2:
Material: PuPa6Ir
Method: DFT, PBE
State: optimized geometry

Values from the calculation:
E_tot: -10.106 eV/atom
size of the total moment: 0.00 μB/f.u.
DOS at the Fermi energy: 12.0 states/eV/cell
formation energy: -0.0853 eV per atom
SG: C2/m

Cell: 5.950 5.950 6.423 Å, 96.42 96.42 111.46°
Atoms (fractional coordinates):
Pu1 0.000 0.000 0.000
Pa1 0.013 0.354 0.257
Pa2 0.274 0.274 0.800
Pa3 0.354 0.013 0.257
Pa4 0.646 0.987 0.743
Pa5 0.726 0.726 0.200
Pa6 0.987 0.646 0.743
Ir1 0.500 0.500 0.500


Entry 3:
Material: Pu2Pa8Ir
Method: DFT, PBE
State: optimized geometry

Values from the calculation:
E_tot: -10.226 eV/atom
size of the total moment: 0.00 μB/f.u.
DOS at the Fermi energy: 20.4 states/eV/cell
formation energy: 0.0912 eV per atom
SG: C2/m

Cell: 7.363 7.363 5.655 Å, 95.68 95.68 65.34°
Atoms (fractional coordinates):
Pu1 0.226 0.226 0.318
Pu2 0.774 0.774 0.682
Pa1 0.148 0.148 0.895
Pa2 0.149 0.583 0.644
Pa3 0.405 0.405 0.169
Pa4 0.417 0.851 0.356
Pa5 0.583 0.149 0.644
Pa6 0.595 0.595 0.831
Pa7 0.851 0.417 0.356
Pa8 0.852 0.852 0.105
Ir1 0.000 0.000 0.500


Entry 4:
Material: Pu2PaIr2
Method: DFT, PBE
State: optimized geometry

Values from the calculation:
E_tot: -11.654 eV/atom
size of the total moment: 11.88 μB/f.u.
DOS at the Fermi energy: 17.7 states/eV/cell
formation energy: -0.4777 eV per atom
SG: Immm

Cell: 5.988 5.988 5.988 Å, 142.90 113.09 79.06°
Atoms (fractional coordinates):
Pu1 0.204 0.204 0.000
Pu2 0.796 0.796 0.000
Pa1 0.500 0.000 0.500
Ir1 0.208 0.500 0.708
Ir2 0.792 0.500 0.292


Entry 5:
Material: Pu5Pa2Ir4
Method: DFT, PBE
State: optimized geometry

Values from the calculation:
E_tot: -11.617 eV/atom
size of the total moment: 4.33 μB/f.u.
DOS at the Fermi energy: 27.7 states/eV/cell
formation energy: -0.1537 eV per atom
SG: C2/m

Cell: 12.020 12.020 5.705 Å, 101.03 101.03 17.80°
Atoms (fractional coordinates):
Pu1 0.000 0.000 0.000
Pu2 0.268 0.268 0.301
Pu3 0.294 0.294 0.892
Pu4 0.706 0.706 0.108
Pu5 0.732 0.732 0.699
Pa1 0.411 0.411 0.411
Pa2 0.589 0.589 0.589
Ir1 0.140 0.140 0.369
Ir2 0.414 0.414 0.956
Ir3 0.586 0.586 0.044
Ir4 0.860 0.860 0.631


Entry 6:
Material: Pu2Pa2Ir3
Method: DFT, PBE
State: optimized geometry

Values from the calculation:
E_tot: -11.180 eV/atom
size of the total moment: 11.27 μB/f.u.
DOS at the Fermi energy: 16.8 states/eV/cell
formation energy: -0.5747 eV per atom
SG: P-1

Cell: 4.061 5.638 7.127 Å, 80.22 80.68 87.01°
Atoms (fractional coordinates):
Pu1 0.206 0.063 0.323
Pu2 0.794 0.937 0.677
Pa1 0.343 0.397 0.795
Pa2 0.657 0.603 0.205
Ir1 0.000 0.500 0.500
Ir2 0.244 0.823 0.956
Ir3 0.756 0.177 0.044


Entry 7:
Material: PuPaIrRh
Method: DFT, PBE
State: optimized geometry

Values from the calculation:
E_tot: -10.686 eV/atom
size of the total moment: 5.36 μB/f.u.
DOS at the Fermi energy: 10.7 states/eV/cell
formation energy: -0.6761 eV per atom
excess energy over the best structure of this formula in the dataset: 0.0000 eV/atom
SG: Amm2

Cell: 4.024 5.789 5.789 Å, 39.17 90.00 90.00°
Atoms (fractional coordinates):
Pu1 0.000 0.000 0.000
Pa1 0.500 0.275 0.275
Ir1 0.000 0.732 0.732
Rh1 0.500 0.534 0.534


Entry 8:
Material: PuPaIrRh
Method: DFT, PBE
State: optimized geometry

Values from the calculation:
E_tot: -10.623 eV/atom
size of the total moment: 4.28 μB/f.u.
DOS at the Fermi energy: 6.6 states/eV/cell
formation energy: -0.6130 eV per atom
excess energy over the best structure of this formula in the dataset: 0.0631 eV/atom
SG: F-43m

Cell: 4.690 4.690 4.690 Å, 60.00 60.00 60.00°
Atoms (fractional coordinates):
Pu1 0.000 0.000 0.000
Pa1 0.750 0.750 0.750
Ir1 0.500 0.500 0.500
Rh1 0.250 0.250 0.250


Entry 9:
Material: PuPaIrS
Method: DFT, PBE
State: optimized geometry

Values from the calculation:
E_tot: -10.161 eV/atom
size of the total moment: 6.21 μB/f.u.
DOS at the Fermi energy: 11.6 states/eV/cell
energy relative to the elements, uncorrected: -0.96 eV/atom
SG: R3m

Cell: 7.694 7.694 7.694 Å, 28.62 28.62 28.62°
Atoms (fractional coordinates):
Pu1 0.000 0.000 0.000
Pa1 0.825 0.825 0.825
Ir1 0.417 0.417 0.417
S1 0.580 0.580 0.580


Entry 10:
Material: PuPaIrSe
Method: DFT, PBE
State: optimized geometry

Values from the calculation:
E_tot: -9.936 eV/atom
size of the total moment: 6.18 μB/f.u.
DOS at the Fermi energy: 12.1 states/eV/cell
energy relative to the elements, uncorrected: -0.89 eV/atom
SG: R3m

Cell: 7.824 7.824 7.824 Å, 28.76 28.76 28.76°
Atoms (fractional coordinates):
Pu1 0.000 0.000 0.000
Pa1 0.184 0.184 0.184
Ir1 0.588 0.588 0.588
Se1 0.425 0.425 0.425


Entry 11:
Material: Pu2Pa2SiIr4
Method: DFT, PBE
State: optimized geometry

Values from the calculation:
E_tot: -10.194 eV/atom
size of the total moment: 11.16 μB/f.u.
DOS at the Fermi energy: 17.0 states/eV/cell
energy relative to the elements, uncorrected: -0.36 eV/atom
SG: I4/mmm

Cell: 6.380 6.380 6.380 Å, 122.37 122.37 85.94°
Atoms (fractional coordinates):
Pu1 0.207 0.207 0.000
Pu2 0.793 0.793 0.000
Pa1 0.250 0.750 0.500
Pa2 0.750 0.250 0.500
Si1 0.500 0.500 0.000
Ir1 0.237 0.237 0.474
Ir2 0.237 0.763 0.000
Ir3 0.763 0.237 0.000
Ir4 0.763 0.763 0.526


Entry 12:
Material: PuPa2Si3Ir4
Method: DFT, PBE
State: optimized geometry

Values from the calculation:
E_tot: -9.311 eV/atom
size of the total moment: 4.87 μB/f.u.
DOS at the Fermi energy: 11.9 states/eV/cell
energy relative to the elements, uncorrected: -0.81 eV/atom
SG: P-4m2

Cell: 4.065 4.065 11.068 Å, 90.00 90.00 90.00°
Atoms (fractional coordinates):
Pu1 0.000 0.000 0.000
Pa1 0.000 0.500 0.731
Pa2 0.500 0.000 0.269
Si1 0.000 0.500 0.380
Si2 0.500 0.000 0.620
Si3 0.500 0.500 0.000
Ir1 0.000 0.000 0.500
Ir2 0.000 0.500 0.166
Ir3 0.500 0.000 0.834
Ir4 0.500 0.500 0.500